Here is a relaxed RhI crystal from Alexandria. Energies are from PBE.

Computed properties:
- ΔE_f (raw): 0.38 eV/f.u.
- Total magnetization: 0.000 μB per atom
- Fermi-level density of states: 8.0 states/eV/cell

Cell and atoms, written as POSCAR:
```
RhI
1.0
-0.436 -7.459 -9.940
2.092 -3.343 2.417
-4.451 -1.714 1.481
Rh I
6 6
Cartesian
-1.782 -1.420 1.143 Rh
0.084 -7.615 -5.112 Rh
0.255 -4.695 -1.222 Rh
-2.428 -3.936 0.016 Rh
-2.693 -8.476 -6.034 Rh
-2.873 -8.167 -1.524 Rh
-1.502 -6.411 -0.213 I
-0.503 -5.197 -3.857 I
-1.653 -8.990 -3.649 I
-0.879 -7.071 -7.523 I
-0.594 -2.190 -1.019 I
-1.788 -3.480 2.690 I
```